Computed, not measured: crystalline AlTc2Os at its relaxed geometry at the PBE level of DFT.

Output
formation energy: -7.3 kJ per mole of atoms
spin magnetization: 0.00 μB/f.u.

```
data_AlTc2Os
_chemical_formula_sum 'Al2 Tc4 Os2'
_cell_length_a 9.211
_cell_length_b 2.801
_cell_length_c 4.570
_cell_angle_alpha 90.00
_cell_angle_beta 100.82
_cell_angle_gamma 90.00
_symmetry_space_group_name_H-M 'C 1 2/m 1'
_symmetry_Int_Tables_number 12
_symmetry_space_group_name_Hall '-C 2y'
loop_
_atom_site_label
_atom_site_type_symbol
_atom_site_fract_x
_atom_site_fract_y
_atom_site_fract_z
Al1 Al 0.000 0.000 0.000
Tc1 Tc 0.244 0.000 0.745
Os1 Os 0.000 0.500 0.500
```